Run A
{
  "formula": "In2RePb",
  "functional": "meta-GGA SCAN",
  "state": "PBEsol geometry",
  "lattice": [[-1.469, 2.371, 6.779], [1.469, -2.371, 6.779], [1.469, 2.371, -6.779]],
  "species": ["In", "In", "Re", "Pb"],
  "frac_coords": [[0.000, 0.000, 0.000], [0.679, 0.179, 0.500], [0.501, 0.501, 0.000], [0.312, 0.812, 0.500]],
  "mass_density_g_cm3": 11.0
}

Run B
{
  "formula": "In2RePb",
  "functional": "meta-GGA SCAN",
  "state": "PBEsol geometry",
  "lattice": [[-1.782, 2.529, 4.672], [1.782, -2.529, 4.672], [1.782, 2.529, -4.672]],
  "species": ["In", "In", "Re", "Pb"],
  "frac_coords": [[0.230, 0.230, 0.000], [0.770, 0.770, 0.000], [0.000, 0.500, 0.500], [0.500, 0.000, 0.500]],
  "mass_density_g_cm3": 12.3
}

Quick one: least stable of them? run B

Run A
{
  "formula": "SrSbAs",
  "functional": "meta-GGA SCAN",
  "state": "PBEsol geometry",
  "lattice": [[4.771, 0.000, 0.000], [-2.386, 4.132, 0.000], [0.000, 0.000, 4.409]],
  "species": ["Sr", "Sb", "As"],
  "frac_coords": [[0.000, 0.000, 0.000], [0.667, 0.333, 0.464], [0.333, 0.667, 0.563]],
  "mass_density_g_cm3": 5.4
}

Run B
{
  "formula": "SrSbAs",
  "functional": "meta-GGA SCAN",
  "state": "PBEsol geometry",
  "lattice": [[4.421, 0.000, 0.000], [0.000, 4.251, 0.000], [-2.029, 0.000, 8.933]],
  "species": ["Sr", "Sr", "Sb", "Sb", "As", "As"],
  "frac_coords": [[0.091, 0.250, 0.198], [0.909, 0.750, 0.802], [0.280, 0.750, 0.511], [0.720, 0.250, 0.489], [0.466, 0.250, 0.923], [0.534, 0.750, 0.077]],
  "mass_density_g_cm3": 5.6
}

Quick one: least stable of them? run A

Run A
{
  "formula": "MoSe",
  "functional": "meta-GGA SCAN",
  "state": "PBEsol geometry",
  "lattice": [[1.526, 0.881, 3.888], [-1.526, 0.881, 3.888], [0.000, -1.762, 3.888]],
  "species": ["Mo", "Se"],
  "frac_coords": [[0.000, 0.000, 0.000], [0.500, 0.500, 0.500]],
  "mass_density_g_cm3": 9.3
}

Run B
{
  "formula": "MoSe",
  "functional": "meta-GGA SCAN",
  "state": "PBEsol geometry",
  "lattice": [[-2.013, 2.013, 3.900], [2.013, -2.013, 3.900], [2.013, 2.013, -3.900]],
  "species": ["Mo", "Mo", "Se", "Se"],
  "frac_coords": [[0.375, 0.625, 0.750], [0.625, 0.375, 0.250], [0.125, 0.875, 0.250], [0.875, 0.125, 0.750]],
  "mass_density_g_cm3": 9.2
}

Quick one: least stable of them? run B

Run A
{
  "formula": "Tl2Sb",
  "functional": "meta-GGA SCAN",
  "state": "PBEsol geometry",
  "lattice": [[-1.651, 1.651, 16.346], [1.651, -1.651, 16.346], [1.651, 1.651, -16.346]],
  "species": ["Tl", "Tl", "Tl", "Tl", "Sb", "Sb"],
  "frac_coords": [[0.298, 0.548, 0.750], [0.452, 0.702, 0.750], [0.548, 0.298, 0.250], [0.702, 0.452, 0.250], [0.125, 0.875, 0.250], [0.875, 0.125, 0.750]],
  "mass_density_g_cm3": 9.9
}

Run B
{
  "formula": "Tl2Sb",
  "functional": "meta-GGA SCAN",
  "state": "PBEsol geometry",
  "lattice": [[8.120, 0.000, 0.000], [-4.060, 7.032, 0.000], [0.000, 0.000, 4.709]],
  "species": ["Tl", "Tl", "Tl", "Tl", "Tl", "Tl", "Sb", "Sb", "Sb"],
  "frac_coords": [[0.000, 0.413, 0.000], [0.000, 0.742, 0.500], [0.258, 0.258, 0.500], [0.413, 0.000, 0.000], [0.587, 0.587, 0.000], [0.742, 0.000, 0.500], [0.000, 0.000, 0.000], [0.333, 0.667, 0.500], [0.667, 0.333, 0.500]],
  "mass_density_g_cm3": 9.8
}

Quick one: least stable of them? run A

Run A
{
  "formula": "TcAu",
  "functional": "meta-GGA SCAN",
  "state": "PBEsol geometry",
  "lattice": [[5.238, -1.431, 0.000], [5.238, 1.431, 0.000], [-1.630, 0.000, 6.155]],
  "species": ["Tc", "Tc", "Tc", "Au", "Au", "Au"],
  "frac_coords": [[0.000, 0.000, 0.000], [0.037, 0.037, 0.584], [0.406, 0.406, 0.256], [0.339, 0.339, 0.663], [0.673, 0.673, 0.330], [0.715, 0.715, 0.927]],
  "mass_density_g_cm3": 15.9
}

Run B
{
  "formula": "TcAu",
  "functional": "meta-GGA SCAN",
  "state": "PBEsol geometry",
  "lattice": [[4.359, 0.000, 0.000], [-2.180, 3.775, 0.000], [0.000, 0.000, 5.210]],
  "species": ["Tc", "Tc", "Au", "Au"],
  "frac_coords": [[0.333, 0.667, 0.250], [0.667, 0.333, 0.750], [0.333, 0.667, 0.750], [0.667, 0.333, 0.250]],
  "mass_density_g_cm3": 11.4
}

Quick one: least stable of them? run B

Run A
{
  "formula": "LiAl2",
  "functional": "meta-GGA SCAN",
  "state": "PBEsol geometry",
  "lattice": [[5.693, 0.000, 0.000], [0.000, 3.990, 0.000], [0.000, 0.000, 8.476]],
  "species": ["Li", "Li", "Li", "Li", "Al", "Al", "Al", "Al", "Al", "Al", "Al", "Al"],
  "frac_coords": [[0.118, 0.250, 0.086], [0.382, 0.750, 0.586], [0.618, 0.250, 0.414], [0.882, 0.750, 0.914], [0.121, 0.250, 0.417], [0.136, 0.250, 0.746], [0.364, 0.750, 0.246], [0.379, 0.750, 0.917], [0.621, 0.250, 0.083], [0.636, 0.250, 0.754], [0.864, 0.750, 0.254], [0.879, 0.750, 0.583]],
  "mass_density_g_cm3": 2.1
}

Run B
{
  "formula": "LiAl2",
  "functional": "meta-GGA SCAN",
  "state": "PBEsol geometry",
  "lattice": [[0.000, 3.794, 3.794], [3.794, 0.000, 3.794], [3.794, 3.794, 0.000]],
  "species": ["Li", "Li", "Al", "Al", "Al", "Al"],
  "frac_coords": [[0.125, 0.125, 0.125], [0.875, 0.875, 0.875], [0.000, 0.500, 0.500], [0.500, 0.000, 0.500], [0.500, 0.500, 0.000], [0.500, 0.500, 0.500]],
  "mass_density_g_cm3": 1.9
}

Quick one: least stable of them? run B